FeNiPt: relaxed, PBE-GGA.

Output
* energy relative to the elements: -0.153 eV per atom
* E_tot: -6.91 eV/atom

Lattice parameters (Å, degrees): 6.641 4.586 7.887 90.00 139.25 90.00
Fractional positions:
Ni  0.752  0.911  0.322
Ni  0.252  0.089  0.822
Ni  0.752  0.411  0.822
Ni  0.252  0.589  0.322
Fe  0.751  0.409  0.493
Fe  0.251  0.591  0.993
Fe  0.751  0.909  0.993
Fe  0.251  0.091  0.493
Pt  0.748  0.408  0.153
Pt  0.248  0.592  0.653
Pt  0.748  0.908  0.653
Pt  0.248  0.092  0.153